Record 1
Material: RbOsRh
Method: DFT, PBE
State: optimized geometry

a b c (Å): 5.898 5.898 9.216
angles (deg): 90.00 90.00 120.00
Each line ends with the local moment (μB).
Sites, in units of the cell vectors:
Rh  0.000  0.000  0.250  0.27
Rh  0.000  0.000  0.750  0.27
Os  0.000  0.000  0.000  1.15
Os  0.000  0.000  0.500  1.15
Rb  0.333  0.667  0.250  0.00
Rb  0.667  0.333  0.750  0.00

Values from the calculation:
Distance to the lowest polymorph of the same formula in eV/f.u.: 4.42
Symmetry: No. 194
Raw total energy in eV/atom: -4.56
Energy relative to the elements in eV per atom: 1.9519

Record 2
Material: Y2Zn3Hg
Method: DFT, PBE
State: optimized geometry

a b c (Å): 4.065 4.138 8.516
angles (deg): 104.06 103.81 90.00
Sites, in units of the cell vectors:
Y  0.132  0.132  0.265
Y  0.864  0.364  0.727
Zn  0.707  0.707  0.414
Zn  0.553  0.553  0.107
Zn  0.289  0.789  0.578
Hg  0.455  0.955  0.910

Values from the calculation:
Distance to the lowest polymorph of the same formula in eV/f.u.: 0.54
Symmetry: No. 44
Raw total energy in eV/atom: -3.16
Energy relative to the elements in eV per atom: -0.3202

Record 3
Material: Pu2Si2Bi
Method: DFT, PBE
State: optimized geometry

a b c (Å): 4.016 3.992 7.424
angles (deg): 105.60 90.00 90.00
Each line ends with the local moment (μB).
Sites, in units of the cell vectors:
Pu  0.500  0.634  0.268  5.21
Pu  0.500  0.366  0.732  5.21
Si  0.000  0.205  0.410  -0.04
Si  0.000  0.795  0.590  -0.04
Bi  0.000  0.000  0.000  -0.11

Values from the calculation:
Energy relative to the elements, uncorrected in eV/atom: -0.40
Symmetry: No. 65
Raw total energy in eV/atom: -9.08

Record 4
Material: BaSnSeBr2
Method: DFT, PBE
State: optimized geometry

a b c (Å): 6.018 6.018 6.384
angles (deg): 90.00 90.00 90.00
Sites, in units of the cell vectors:
Se  0.000  0.000  0.500
Ba  0.000  0.000  0.000
Br  0.000  0.500  0.000
Br  0.500  0.000  0.000
Sn  0.500  0.500  0.500

Values from the calculation:
Energy relative to the elements, uncorrected in eV/atom: -0.59
Distance to the lowest polymorph of the same formula in eV/f.u.: 2.50
Symmetry: No. 123
Raw total energy in eV/atom: -3.14

Record 5
Material: TcSb2Se
Method: DFT, PBE
State: optimized geometry

a b c (Å): 3.271 5.754 5.754
angles (deg): 55.77 90.00 90.00
Sites, in units of the cell vectors:
Sb  0.000  0.961  0.961
Sb  0.500  0.237  0.237
Se  0.000  0.559  0.559
Tc  0.500  0.743  0.743

Values from the calculation:
Energy relative to the elements, uncorrected in eV/atom: -0.02
Symmetry: No. 38
Raw total energy in eV/atom: -5.55

Record 6
Material: NdErPdRh
Method: DFT, PBE
State: optimized geometry

a b c (Å): 3.762 4.479 5.661
angles (deg): 90.00 109.41 90.00
Sites, in units of the cell vectors:
Nd  0.144  0.000  0.287
Er  0.865  0.500  0.730
Pd  0.582  0.500  0.165
Rh  0.409  0.000  0.818

Values from the calculation:
Distance to the lowest polymorph of the same formula in eV/f.u.: 0.00
Symmetry: No. 38
Raw total energy in eV/atom: -6.29
Energy relative to the elements in eV per atom: -0.8198

> The highest raw total energy belongs to which entry?

BaSnSeBr2

> The lowest raw total energy belongs to which entry?

Pu2Si2Bi